# IrW | Alexandria via LeMat-Bulk | PBE | relaxed
data_IrW
_symmetry_space_group_name_H-M 'P 63/m m c'
_symmetry_Int_Tables_number 194
_symmetry_space_group_name_Hall '-P 6c 2c'
_cell_length_a 4.4116
_cell_length_b 4.4116
_cell_length_c 7.8371
_cell_angle_alpha 90.00
_cell_angle_beta 90.00
_cell_angle_gamma 120.00
loop_
_atom_site_label
_atom_site_fract_x
_atom_site_fract_y
_atom_site_fract_z
Ir1 0.0000 0.0000 0.2500
Ir2 0.3333 0.6667 0.2500
W1 0.3333 0.6667 0.5835
# E_tot ... -21.0 eV per formula unit
# Formation energy ... 0.8 eV per formula unit
# Polymorph energy (0 for the lowest one) ... 708 meV per atom